VASP calculation (PBE-GGA) on a relaxed NaHoBe crystal.

Symmetry: F-43m
Offset from the most stable computed form (kJ/mol of atoms): 0.0

Cell lengths 4.706, 4.706, 4.706 Å; angles 60.00, 60.00, 60.00 degrees
Positions (direct):
1 Na 0.000 0.000 0.000
2 Ho 0.500 0.500 0.500
3 Be 0.750 0.750 0.750

VASP calculation (PBE-GGA) on a relaxed NaHoBe crystal.

Symmetry: F-43m
Offset from the most stable computed form (kJ/mol of atoms): 39.7

Cell lengths 4.795, 4.795, 4.795 Å; angles 60.00, 60.00, 60.00 degrees
Positions (direct):
1 Na 0.000 0.000 0.000
2 Ho 0.750 0.750 0.750
3 Be 0.500 0.500 0.500

VASP calculation (PBE-GGA) on a relaxed NaHoBeS3 crystal.

Symmetry: Cmcm
Final energy (eV/atom): -5.173

Cell lengths 6.706, 6.706, 10.446 Å; angles 90.00, 90.00, 147.27 degrees
Positions (direct):
1 Na 0.249 0.751 0.750
2 Na 0.751 0.249 0.250
3 Ho 0.000 0.000 0.000
4 Ho 0.000 0.000 0.500
5 Be 0.464 0.536 0.250
6 Be 0.536 0.464 0.750
7 S 0.066 0.934 0.250
8 S 0.370 0.630 0.087
9 S 0.370 0.630 0.413
10 S 0.630 0.370 0.587
11 S 0.630 0.370 0.913
12 S 0.934 0.066 0.750

Calculated density (g/cm³)
4.44 4.19 3.83